11
Lattice="4.4510 0.0000 0.0000 0.0000 4.4510 0.0000 -2.2255 -2.2255 14.5967" Properties=species:S:1:pos:R:3 comment="Ac3Ga2Ge6 PBE optimized geometry" dft_energy_ev_per_atom=-4.588 formation_energy_ev_per_atom=-0.40 m_tot_mub_per_cell=0.000 volume_a3_per_cell=289.2 pbc="T T T"
Ga 2.2255 2.2255 3.9160
Ga 0.0000 0.0000 10.6806
Ge 0.0000 2.2255 12.1800
Ge 2.2255 0.0000 12.1800
Ge 0.0000 0.0000 8.1950
Ge 2.2255 0.0000 2.4167
Ge 0.0000 2.2255 2.4167
Ge 2.2255 2.2255 6.4016
Ac 2.2255 2.2255 9.4814
Ac 0.0000 0.0000 0.0000
Ac 0.0000 0.0000 5.1152